1.
4
Lattice="-2.999 1.061 1.123 0.441 -1.762 2.843 3.239 5.848 3.123" Properties=species:S:1:pos:R:3 comment="Pu2TcSe PBE-GGA relaxed" dft_energy_ev_per_atom=-11.14 spacegroup="P4/mmm (123)" relative_energy_ev_per_fu=0.00 crystal_system=tetragonal pbc="T T T"
Se 0.340 2.574 3.545
Pu 2.468 4.457 2.380
Tc -1.279 -0.350 1.983
Pu 0.771 1.391 0.743



2.
4
Lattice="-0.232 -1.554 3.124 2.842 -1.417 1.463 2.699 6.837 5.557" Properties=species:S:1:pos:R:3 comment="Pu2TcSe PBE-GGA relaxed" dft_energy_ev_per_atom=-10.59 spacegroup="R-3m (166)" relative_energy_ev_per_fu=2.20 crystal_system=trigonal pbc="T T T"
Tc 0.000 0.000 0.000
Pu 3.107 -0.847 5.680
Se 2.655 1.933 5.072
Pu 2.203 4.713 4.464



3.
8
Lattice="6.171 0.000 0.000 0.000 6.171 0.000 -3.085 -3.085 6.197" Properties=species:S:1:pos:R:3 comment="Pu4Te3Se PBE-GGA relaxed" dft_energy_ev_per_atom=-9.90 spacegroup="I4/mmm (139)" relative_energy_ev_per_fu=0.15 crystal_system=tetragonal pbc="T T T"
Se 0.000 0.000 0.000
Pu 0.000 3.085 0.000
Pu 0.000 0.000 2.993
Pu 3.085 3.085 3.204
Te 0.000 3.085 3.099
Pu 3.085 0.000 0.000
Te 3.085 3.085 0.000
Te 3.085 0.000 3.099



4.
3
Lattice="-2.658 -0.688 3.159 -0.859 -4.403 -1.682 3.547 0.715 3.140" Properties=species:S:1:pos:R:3 comment="PuTeSe PBE-GGA relaxed" dft_energy_ev_per_atom=-7.81 spacegroup="P3m1 (156)" relative_energy_ev_per_fu=0.82 crystal_system=trigonal pbc="T T T"
Te -1.162 -3.156 2.031
Se -0.440 -0.114 0.523
Pu 1.633 -1.106 2.063



5.
5
Lattice="4.313 0.000 0.000 0.000 5.667 0.000 -2.157 -2.833 6.771" Properties=species:S:1:pos:R:3 comment="Pu2TeSe2 PBE-GGA relaxed" dft_energy_ev_per_atom=-9.08 spacegroup="Immm (71)" crystal_system=orthorhombic pbc="T T T"
Se 0.000 0.000 4.135
Te 0.000 0.000 0.000
Pu 2.157 0.000 2.236
Pu 0.000 2.833 4.535
Se 2.157 2.833 2.636



6.
20
Lattice="-0.879 -6.941 1.276 8.720 -1.332 -1.238 -0.826 1.705 8.704" Properties=species:S:1:pos:R:3 comment="Pu3TeSe6 PBE-GGA relaxed" dft_energy_ev_per_atom=-7.74 spacegroup="Cmc2_1 (36)" crystal_system=orthorhombic pbc="T T T"
Se 0.921 -3.114 7.097
Se -1.217 -3.906 9.397
Se 2.793 -1.046 2.339
Pu 7.081 -3.162 5.731
Se 4.390 -4.189 6.158
Pu -0.427 -6.258 3.535
Pu 2.718 -2.063 5.144
Pu 4.704 -6.016 8.388
Se 1.722 -4.315 3.635
Se 6.374 -1.238 1.238
Se 7.013 -5.440 3.908
Pu 4.093 -6.111 3.893
Se 0.049 -0.757 4.766
Te 0.939 0.641 6.891
Se 8.154 -3.276 -0.542
Se 5.462 -0.920 4.862
Pu 1.950 -3.404 0.879
Te 6.393 -4.705 1.391
Se 3.886 -5.588 0.950
Se 3.176 -0.609 7.723



7.
12
Lattice="7.514 0.205 0.354 -1.453 7.395 -0.286 -1.453 -3.915 6.280" Properties=species:S:1:pos:R:3 comment="Pu3Te2Se PBE-GGA relaxed" dft_energy_ev_per_atom=-10.01 spacegroup="C2/c (15)" crystal_system=monoclinic pbc="T T T"
Te 4.182 4.816 1.566
Se 4.182 0.875 3.854
Pu 1.599 1.755 5.028
Pu -0.749 0.086 2.154
Te 0.425 -1.130 4.782
Pu -0.727 3.697 -0.143
Pu 3.030 -1.855 3.317
Pu 3.008 1.930 1.320
Pu 5.356 3.599 4.194
Te 4.182 -2.839 6.011
Se 0.425 2.811 2.493
Te 0.425 6.525 0.337



8.
10
Lattice="4.112 0.000 -0.793 -0.308 5.745 -1.595 0.012 -0.016 11.117" Properties=species:S:1:pos:R:3 comment="Pu5TeSe4 PBE-GGA relaxed" dft_energy_ev_per_atom=-10.25 spacegroup="Immm (71)" crystal_system=orthorhombic pbc="T T T"
Se 3.036 4.565 4.682
Pu 1.351 5.118 7.002
Se 1.531 2.285 7.937
Se 2.285 3.444 0.792
Pu 2.466 0.611 1.727
Te 0.000 0.000 0.000
Se 0.781 1.165 4.046
Pu 3.209 1.720 5.577
Pu -0.154 2.873 -0.797
Pu 0.608 4.010 3.152



9.
16
Lattice="-7.299 0.553 1.739 3.775 -2.981 5.800 1.381 8.050 3.239" Properties=species:S:1:pos:R:3 comment="Pu4Te3Se PBE-GGA relaxed" dft_energy_ev_per_atom=-9.92 spacegroup="P2/c (13)" relative_energy_ev_per_fu=0.00 crystal_system=monoclinic pbc="T T T"
Se -4.265 7.461 4.139
Te -3.414 -0.070 4.609
Pu -1.540 6.708 5.098
Pu -2.166 2.523 3.465
Te 1.272 5.692 6.169
Te -4.957 3.430 2.518
Pu -5.455 4.897 5.178
Te -0.961 5.172 2.460
Te 0.581 1.665 4.549
Pu -6.255 0.773 3.469
Pu 0.023 3.098 7.313
Te -2.723 3.957 6.229
Pu 4.113 4.848 7.309
Pu 3.313 0.725 5.599
Se -1.652 1.142 0.839
Pu -0.602 -1.086 5.679



10.
4
Lattice="3.684 0.000 0.000 0.000 3.684 0.000 0.000 0.000 7.400" Properties=species:S:1:pos:R:3 comment="Pu2TeSe PBE-GGA relaxed" dft_energy_ev_per_atom=-9.97 spacegroup="P4/mmm (123)" relative_energy_ev_per_fu=0.61 crystal_system=tetragonal pbc="T T T"
Pu 0.000 0.000 1.944
Pu 0.000 0.000 5.456
Se 1.842 1.842 3.700
Te 1.842 1.842 0.000



11.
3
Lattice="3.848 0.000 0.000 0.000 3.848 0.000 -1.924 -1.924 5.182" Properties=species:S:1:pos:R:3 comment="PuTeSe PBE-GGA relaxed" dft_energy_ev_per_atom=-7.93 spacegroup="I4mm (107)" relative_energy_ev_per_fu=0.45 crystal_system=tetragonal pbc="T T T"
Se 0.000 0.000 3.167
Te 0.000 0.000 0.146
Pu 1.924 1.924 1.869



12.
4
Lattice="5.230 0.000 0.000 2.615 4.529 0.000 2.615 1.510 4.270" Properties=species:S:1:pos:R:3 comment="Pu2TeSe PBE-GGA relaxed" dft_energy_ev_per_atom=-9.95 spacegroup="Fm-3m (225)" relative_energy_ev_per_fu=0.68 crystal_system=cubic pbc="T T T"
Pu 2.615 1.510 1.068
Se 5.230 3.020 2.135
Pu 7.845 4.529 3.203
Te 0.000 0.000 0.000



13.
8
Lattice="-2.123 2.774 -2.465 -0.386 -4.202 -0.688 -11.137 -0.462 9.075" Properties=species:S:1:pos:R:3 comment="Pu2TeSe PBE-GGA relaxed" dft_energy_ev_per_atom=-10.09 spacegroup="P6_3/mmc (194)" relative_energy_ev_per_fu=0.10 crystal_system=hexagonal pbc="T T T"
Te -4.329 0.333 0.396
Pu -11.432 0.038 6.185
Te -9.318 -2.223 5.526
Pu -5.285 -2.056 2.239
Se -5.569 -0.231 4.538
Se 0.000 0.000 0.000
Pu -2.215 -1.928 -0.262
Pu -8.362 0.166 3.683



14.
10
Lattice="-3.289 2.999 1.039 -3.930 -3.558 -2.173 4.331 0.194 13.157" Properties=species:S:1:pos:R:3 comment="PuTeSe3 PBE-GGA relaxed" dft_energy_ev_per_atom=-6.24 spacegroup="P2_1/m (11)" crystal_system=monoclinic pbc="T T T"
Te 1.463 0.090 9.403
Se -0.382 -1.568 8.346
Se -2.506 1.202 3.677
Se -1.011 0.010 11.854
Pu 1.076 2.183 12.188
Pu -3.964 -2.549 -0.166
Se -1.877 -0.376 0.168
Se 0.673 0.714 5.099
Te -4.352 -0.456 2.620
Se -3.561 -1.079 6.923



15.
16
Lattice="7.496 0.000 4.294 2.518 7.060 4.294 0.013 0.009 8.667" Properties=species:S:1:pos:R:3 comment="Pu8Te5Se3 PBE-GGA relaxed" dft_energy_ev_per_atom=-10.00 spacegroup="R-3m (166)" crystal_system=trigonal pbc="T T T"
Pu 7.515 5.298 8.738
Pu 2.443 1.722 4.426
Se 3.755 0.005 6.480
Te 1.259 3.530 2.147
Pu 3.653 5.298 6.526
Te 5.014 3.535 8.627
Te 3.748 0.000 2.147
Se 0.007 0.005 4.333
Te 5.007 3.530 4.294
Pu 2.513 1.772 8.516
Pu 6.375 1.772 10.728
Pu 3.810 5.409 10.728
Pu 7.585 5.348 12.828
Se 1.266 3.535 6.480
Te 0.000 0.000 0.000
Pu 6.217 1.661 6.526



16.
6
Lattice="4.170 0.000 -1.182 -0.645 5.689 -2.277 -0.120 -0.337 7.529" Properties=species:S:1:pos:R:3 comment="Pu3Te2Se PBE-GGA relaxed" dft_energy_ev_per_atom=-10.01 spacegroup="Immm (71)" crystal_system=orthorhombic pbc="T T T"
Pu 0.000 0.000 0.000
Pu 2.265 3.612 0.045
Te 2.651 0.863 1.406
Se -0.322 2.845 -1.138
Pu 1.140 1.740 4.025
Te 0.755 4.489 2.665



17.
16
Lattice="4.170 0.000 0.000 -2.085 3.611 0.000 0.000 0.000 28.138" Properties=species:S:1:pos:R:3 comment="Pu4TeSe3 PBE-GGA relaxed" dft_energy_ev_per_atom=-10.25 spacegroup="P6_3/mmc (194)" crystal_system=hexagonal pbc="T T T"
Te 0.000 2.408 7.035
Se 0.000 2.408 17.433
Pu 0.000 2.408 1.678
Se 0.000 2.408 24.774
Pu 2.085 1.204 15.747
Se 0.000 0.000 0.000
Se 0.000 0.000 14.069
Pu 0.000 2.408 12.391
Se 2.085 1.204 10.705
Se 2.085 1.204 3.364
Pu 0.000 0.000 9.056
Pu 0.000 0.000 5.013
Te 2.085 1.204 21.104
Pu 0.000 0.000 19.082
Pu 0.000 0.000 23.125
Pu 2.085 1.204 26.460



18.
10
Lattice="-1.622 -1.385 4.854 3.341 -3.131 -2.673 8.639 5.431 4.437" Properties=species:S:1:pos:R:3 comment="Pu2Te2Se PBE-GGA relaxed" dft_energy_ev_per_atom=-8.74 spacegroup="P6_3/mmc (194)" crystal_system=hexagonal pbc="T T T"
Pu 0.000 0.000 0.000
Pu 4.320 2.716 2.218
Se 6.479 4.074 3.328
Te 3.650 0.307 4.203
Te 9.624 2.441 3.912
Te 0.734 -1.526 2.705
Te 6.708 0.608 2.415
Pu 3.846 -1.191 0.945
Pu 6.512 2.106 5.672
Se 2.160 1.358 1.109



19.
12
Lattice="7.469 -0.123 -1.410 -4.041 6.283 -1.410 0.140 0.252 7.586" Properties=species:S:1:pos:R:3 comment="Pu6Te5Se PBE-GGA relaxed" dft_energy_ev_per_atom=-9.87 spacegroup="C2/m (12)" crystal_system=monoclinic pbc="T T T"
Pu 4.557 3.844 3.617
Te 5.547 1.112 2.383
Pu 0.924 1.660 5.039
Se 0.000 0.000 0.000
Pu -0.988 2.568 1.148
Pu 2.703 0.514 1.148
Pu 2.645 4.752 -0.274
Te 3.628 2.015 -1.410
Te 1.784 3.206 2.383
Te -0.199 4.145 -1.410
Te -1.978 5.300 2.383
Pu 0.865 5.899 3.617



20.
6
Lattice="4.275 0.000 0.000 0.000 4.275 0.000 -2.138 -2.138 8.782" Properties=species:S:1:pos:R:3 comment="PuTeSe PBE-GGA relaxed" dft_energy_ev_per_atom=-8.08 spacegroup="I4/mmm (139)" relative_energy_ev_per_fu=0.00 crystal_system=tetragonal pbc="T T T"
Pu 2.138 2.138 2.691
Se 2.138 2.138 5.589
Te 2.138 0.000 0.000
Pu 0.000 0.000 6.090
Se 0.000 0.000 3.192
Te 0.000 2.138 0.000



21.
4
Lattice="-2.386 -1.859 3.048 1.294 -3.681 1.793 3.102 1.766 6.532" Properties=species:S:1:pos:R:3 comment="Pu2TeSe PBE-GGA relaxed" dft_energy_ev_per_atom=-10.12 spacegroup="R-3m (166)" relative_energy_ev_per_fu=0.00 crystal_system=trigonal pbc="T T T"
Pu 1.430 -2.911 8.419
Te 0.000 0.000 0.000
Se 1.005 -1.887 5.686
Pu 0.579 -0.863 2.952



22.
10
Lattice="4.333 0.000 0.000 0.000 8.622 -0.494 -2.167 -1.742 9.300" Properties=species:S:1:pos:R:3 comment="Pu4Te5Se PBE-GGA relaxed" dft_energy_ev_per_atom=-8.67 spacegroup="C2/m (12)" crystal_system=monoclinic pbc="T T T"
Pu 0.000 6.661 5.779
Pu 2.167 0.219 3.027
Pu 0.000 2.113 -0.117
Pu 2.167 4.767 8.922
Te 2.167 0.246 6.116
Te 2.167 4.311 -0.247
Se 2.167 0.000 0.000
Te 0.000 6.634 2.690
Te 0.000 2.330 2.905
Te 2.167 4.550 5.900



23.
3
Lattice="-2.998 -3.146 2.523 1.823 -2.661 3.853 -1.406 1.095 4.698" Properties=species:S:1:pos:R:3 comment="PuTeSe PBE-GGA relaxed" dft_energy_ev_per_atom=-7.89 spacegroup="F-43m (216)" relative_energy_ev_per_fu=0.58 crystal_system=cubic pbc="T T T"
Pu -0.645 -1.178 2.769
Te 0.000 0.000 0.000
Se -1.290 -2.355 5.538



24.
16
Lattice="-3.920 1.095 6.209 3.374 -6.603 0.355 7.091 6.442 0.380" Properties=species:S:1:pos:R:3 comment="Pu2TeSe PBE-GGA relaxed" dft_energy_ev_per_atom=-10.08 spacegroup="P-1 (2)" relative_energy_ev_per_fu=0.17 crystal_system=triclinic pbc="T T T"
Pu 1.629 -1.034 0.451
Pu 1.467 -4.110 3.918
Se 6.619 0.168 4.884
Te 6.990 2.975 1.689
Pu 4.916 1.968 6.492
Te -0.445 -2.042 5.255
Pu 5.078 5.044 3.026
Se -0.326 2.247 6.052
Te 3.214 -1.674 3.088
Pu 5.137 -3.629 1.592
Pu 1.386 0.342 4.618
Se 6.871 -1.313 0.891
Pu 1.408 4.563 5.351
Se -0.074 0.765 2.059
Pu 5.159 0.591 2.325
Te 3.331 2.607 3.856